Record 1
The following is a PBE calculation of a relaxed structure of Zr2NiC, from the Open Quantum Materials Database.

## Properties
* space group: P6_3/mmc
* total energy: -0.310 hartree per atom

Cell: 3.317 3.317 13.016 Å, 90.00 90.00 120.00°
Atoms (fractional coordinates):
Zr1 0.333 0.667 0.102
Zr2 0.333 0.667 0.398
Zr3 0.667 0.333 0.602
Zr4 0.667 0.333 0.898
Ni1 0.333 0.667 0.750
Ni2 0.667 0.333 0.250
C1 0.000 0.000 0.000
C2 0.000 0.000 0.500

Record 2
The following is a PBE calculation of a relaxed structure of ZrNi2C3, from the Open Quantum Materials Database.

## Properties
* space group: P-3m1
* total energy: -0.271 hartree per atom

Cell: 3.200 3.200 6.542 Å, 90.00 90.00 120.00°
Atoms (fractional coordinates):
Zr1 0.000 0.000 0.000
Ni1 0.333 0.667 0.652
Ni2 0.667 0.333 0.348
C1 0.000 0.000 0.500
C2 0.333 0.667 0.205
C3 0.667 0.333 0.795

Record 3
The following is a PBE calculation of a relaxed structure of Np2C3, from the Open Quantum Materials Database.

## Properties
* space group: I-43d
* total energy: -0.392 hartree per atom

Cell: 6.950 6.950 6.950 Å, 109.47 109.47 109.47°
Atoms (fractional coordinates):
Np1 0.000 0.402 0.500
Np2 0.000 0.902 0.500
Np3 0.098 0.098 0.098
Np4 0.402 0.500 0.000
Np5 0.500 0.000 0.402
Np6 0.500 0.000 0.902
Np7 0.598 0.598 0.598
Np8 0.902 0.500 0.000
C1 0.037 0.750 0.787
C2 0.213 0.750 0.963
C3 0.250 0.537 0.287
C4 0.250 0.713 0.463
C5 0.287 0.250 0.537
C6 0.463 0.250 0.713
C7 0.537 0.287 0.250
C8 0.713 0.463 0.250
C9 0.750 0.787 0.037
C10 0.750 0.963 0.213
C11 0.787 0.037 0.750
C12 0.963 0.213 0.750

- total energy of number 2 (ZrNi2C3)?
  -0.271 hartree per atom

- Number 2 is which compound?
  ZrNi2C3